# Li4Ca2MgSi2N6 PBE-GGA optimized geometry
data_Li4Ca2MgSi2N6
_chemical_formula_sum 'Li8 Ca4 Mg2 Si4 N12'
_symmetry_space_group_name_H-M 'C 1 2/m 1'
_symmetry_Int_Tables_number 12
_symmetry_space_group_name_Hall '-C 2y'
_cell_length_a 5.934
_cell_length_b 9.837
_cell_length_c 5.651
_cell_angle_alpha 90.00
_cell_angle_beta 94.99
_cell_angle_gamma 90.00
loop_
_atom_site_label
_atom_site_fract_x
_atom_site_fract_y
_atom_site_fract_z
Li1 0.161 0.171 0.125
Ca1 0.000 0.322 0.500
Mg1 0.000 0.000 0.500
Si1 0.178 0.500 0.133
N1 0.122 0.500 0.813
N2 0.178 0.144 0.751
# Formation energy from raw total energies   -14.6 eV/f.u.

=====

# LiCaMgSiN3 PBE-GGA optimized geometry
data_LiCaMgSiN3
_chemical_formula_sum 'Li4 Ca4 Mg4 Si4 N12'
_symmetry_space_group_name_H-M 'C 1 2/m 1'
_symmetry_Int_Tables_number 12
_symmetry_space_group_name_Hall '-C 2y'
_cell_length_a 5.594
_cell_length_b 9.907
_cell_length_c 6.037
_cell_angle_alpha 90.00
_cell_angle_beta 97.08
_cell_angle_gamma 90.00
loop_
_atom_site_label
_atom_site_fract_x
_atom_site_fract_y
_atom_site_fract_z
Li1 0.180 0.000 0.410
Ca1 0.000 0.179 0.000
Mg1 0.000 0.265 0.500
Si1 0.130 0.500 0.178
N1 0.192 0.500 0.890
N2 0.246 0.355 0.310
# Formation energy from raw total energies   -7.2 eV/f.u.

=====

What is the formula in the second record?
LiCaMgSiN3

=====

Number 2 is which compound?
LiCaMgSiN3

=====

What is the formation energy from raw total energies in the first record?
-14.6 eV/f.u.

=====

Which of these has the lowest formation energy from raw total energies?
Li4Ca2MgSi2N6